This record from Alexandria describes a crystal of Li2RePt relaxed with PBEsol. The functional is meta-GGA SCAN.

```
4
Lattice="3.6149 0.0000 0.0000 0.0000 3.6149 0.0000 0.0000 0.0000 4.3049" Properties=species:S:1:pos:R:3 pbc="T T T"
Re 0.0000 0.0000 2.1525
Li 0.0000 1.8075 0.0000
Pt 1.8075 1.8075 2.1525
Li 1.8075 0.0000 0.0000
```

Total magnetic moment   0.00 μB per formula unit
E   -145.68 eV/cell
Relative energy among the computed polymorphs   0.325 eV per atom
E_form   0.098 eV/atom
Space-group type   P4/mmm